[1]
The following is a DFT calculation (GGA-PBEsol) of an optimized crystal structure of Zn2SiH.

Lattice parameters (Å, degrees): 4.501 4.501 10.896 90.00 90.00 90.00
Space group I-42d (No. 122)
Unique sites:
Zn  0.129  0.250  0.125 (multiplicity 8)
Si  0.000  0.000  0.500 (multiplicity 4)
H  0.000  0.000  0.000 (multiplicity 4)

Output
- E_tot (eV/cell) = -43.0

***

[2]
The following is a DFT calculation (GGA-PBEsol) of an optimized crystal structure of NaAs2P2.

Lattice parameters (Å, degrees): 7.913 7.913 3.365 90.00 90.00 90.00
Space group P4/mbm (No. 127)
Unique sites:
Na  0.000  0.000  0.000 (multiplicity 2)
As  0.155  0.345  0.000 (multiplicity 4)
P  0.205  0.705  0.500 (multiplicity 4)

Output
- calculated formation energy (eV per atom) = 0.0846
- E_tot (eV/cell) = -45.5

***

[3]
The following is a DFT calculation (GGA-PBEsol) of an optimized crystal structure of LaTe2MoI.

Lattice parameters (Å, degrees): 6.065 6.065 6.015 90.00 90.00 90.00
Space group P4/mmm (No. 123)
Unique sites:
La  0.000  0.000  0.000 (multiplicity 1)
Te  0.000  0.500  0.000 (multiplicity 2)
Mo  0.500  0.500  0.500 (multiplicity 1)
I  0.000  0.000  0.500 (multiplicity 1)

Output
- uncorrected formation energy (eV/atom) = 0.637
- E_tot (eV/cell) = -22.8